Entry 1:
CsK2TlBr6: relaxed, PBE.

Structure (CIF):
```
data_CsK2TlBr6
_chemical_formula_sum 'Cs3 K6 Tl3 Br18'
_space_group_name_H-M_alt 'R 3'
_space_group_IT_number 146
_space_group_name_Hall 'R 3'
_cell_length_a 8.2564
_cell_length_b 8.2564
_cell_length_c 21.7104
_cell_angle_alpha 90.00
_cell_angle_beta 90.00
_cell_angle_gamma 120.00
loop_
_atom_site_label
_atom_site_type_symbol
_atom_site_fract_x
_atom_site_fract_y
_atom_site_fract_z
_atom_site_occupancy
Cs1 Cs 0.0000 0.0000 0.0000 1
K1 K 0.0000 0.0000 0.2823 1
K2 K 0.0000 0.0000 0.7982 1
Tl1 Tl 0.0000 0.0000 0.4830 1
Br1 Br 0.0192 0.7420 0.4019 1
Br2 Br 0.0202 0.2957 0.5536 1
```

## Properties
- M_tot (μB/cell) = 0.0
- energy relative to the elements, uncorrected (meV/atom) = -1243
- Fermi-level density of states (states/eV/atom) = 0.000

***

Entry 2:
Pm5Nd8Er: relaxed, PBE.

Structure (CIF):
```
data_Pm5Nd8Er
_chemical_formula_sum 'Pm10 Nd16 Er2'
_space_group_name_H-M_alt 'I -4'
_space_group_IT_number 82
_cell_length_a 9.829
_cell_length_b 9.829
_cell_length_c 10.272
_cell_angle_alpha 90.00
_cell_angle_beta 90.00
_cell_angle_gamma 90.00
loop_
_space_group_symop_operation_xyz
'x,y,z'
'y,-x,-z'
'-x,-y,z'
'-y,x,-z'
'x+1/2,y+1/2,z+1/2'
'y+1/2,-x+1/2,-z+1/2'
'-x+1/2,-y+1/2,z+1/2'
'-y+1/2,x+1/2,-z+1/2'
loop_
_atom_site_label
_atom_site_type_symbol
_atom_site_fract_x
_atom_site_fract_y
_atom_site_fract_z
_atom_site_occupancy
Pm1 Pm 0.000 0.000 0.000 1
Pm2 Pm 0.106 0.208 0.423 1
Nd1 Nd 0.069 0.328 0.094 1
Nd2 Nd 0.084 0.183 0.754 1
Er1 Er 0.000 0.500 0.750 1
```

## Properties
- M_tot (μB/cell) = 0.0
- ΔH_f (0 K) (eV per formula unit) = 3.37
- Fermi-level density of states (states/eV/atom) = 1.481

***

Entry 3:
Na2SbPbBr8: relaxed, PBE.

Structure (CIF):
```
data_Na2SbPbBr8
_chemical_formula_sum 'Na2 Sb1 Pb1 Br8'
_space_group_name_H-M_alt 'P 1 2/m 1'
_space_group_IT_number 10
_cell_length_a 6.773
_cell_length_b 8.969
_cell_length_c 6.997
_cell_angle_alpha 90.00
_cell_angle_beta 94.97
_cell_angle_gamma 90.00
loop_
_space_group_symop_operation_xyz
'x,y,z'
'-x,-y,-z'
'-x,y,-z'
'x,-y,z'
loop_
_atom_site_label
_atom_site_type_symbol
_atom_site_fract_x
_atom_site_fract_y
_atom_site_fract_z
_atom_site_occupancy
Na1 Na 0.000 0.245 0.000 1
Sb1 Sb 0.500 0.000 0.500 1
Pb1 Pb 0.500 0.500 0.500 1
Br1 Br 0.211 0.500 0.167 1
Br2 Br 0.239 0.000 0.175 1
Br3 Br 0.284 0.228 0.657 1
```

## Properties
- M_tot (μB/cell) = 0.0
- energy relative to the elements, uncorrected (meV/atom) = -890
- Fermi-level density of states (states/eV/atom) = 0.634

***

Entry 4:
H5Pd3Pt3: relaxed, PBE.

Structure (CIF):
```
data_H5Pd3Pt3
_chemical_formula_sum 'H5 Pd3 Pt3'
_space_group_name_H-M_alt 'P m m 2'
_space_group_IT_number 25
_cell_length_a 2.975
_cell_length_b 8.730
_cell_length_c 4.306
_cell_angle_alpha 90.00
_cell_angle_beta 90.00
_cell_angle_gamma 90.00
loop_
_space_group_symop_operation_xyz
'x,y,z'
'-x,-y,z'
'-x,y,z'
'x,-y,z'
loop_
_atom_site_label
_atom_site_type_symbol
_atom_site_fract_x
_atom_site_fract_y
_atom_site_fract_z
_atom_site_occupancy
H1 H 0.000 0.000 0.000 1
H2 H 0.000 0.347 0.004 1
H3 H 0.500 0.174 0.493 1
Pd1 Pd 0.000 0.168 0.749 1
Pd2 Pd 0.500 0.000 0.248 1
Pt1 Pt 0.000 0.500 0.714 1
Pt2 Pt 0.500 0.341 0.253 1
```

## Properties
- M_tot (μB/cell) = 0.0
- Fermi-level density of states (states/eV/atom) = 0.271

***

Here are the calculated E numbers, same order: -2.788, -4.507, -2.878, -4.625 (eV per atom).